{
  "formula": "Li2Al2Zn2AgAu",
  "functional": "GGA-PBE",
  "state": "relaxed",
  "energy_ev_per_atom": -2.770,
  "space_group": "No. 115",
  "crystal_system": "tetragonal",
  "lattice": [[4.4147, 0.0000, 0.0000], [0.0000, 4.4147, 0.0000], [0.0000, 0.0000, 6.2021]],
  "species": ["Ag", "Al", "Al", "Au", "Li", "Li", "Zn", "Zn"],
  "fractional_positions": [[0.5000, 0.5000, 0.0000], [0.5000, 0.0000, 0.2536], [0.0000, 0.5000, 0.7464], [0.0000, 0.0000, 0.5000], [0.0000, 0.0000, 0.0000], [0.5000, 0.5000, 0.5000], [0.0000, 0.5000, 0.2502], [0.5000, 0.0000, 0.7498]]
}

***

{
  "formula": "LuAlAgAu",
  "functional": "GGA-PBE",
  "state": "relaxed",
  "energy_ev_per_atom": -3.940,
  "relative_energy_mev_per_atom": 190.5,
  "space_group": "No. 216",
  "crystal_system": "cubic",
  "lattice": [[-2.6238, 2.1364, 3.3301], [0.1980, 4.7153, 0.5149], [-3.7085, 2.6831, -1.2593]],
  "species": ["Ag", "Al", "Au", "Lu"],
  "fractional_positions": [[0.5000, 0.5000, 0.5000], [0.0000, 0.0000, 0.0000], [0.2500, 0.2500, 0.2500], [0.7500, 0.7500, 0.7500]]
}

***

{
  "formula": "LuAlAgAu",
  "functional": "GGA-PBE",
  "state": "relaxed",
  "energy_ev_per_atom": -3.973,
  "relative_energy_mev_per_atom": 157.4,
  "space_group": "No. 216",
  "crystal_system": "cubic",
  "lattice": [[-0.2061, -1.4118, 4.5590], [-2.5505, -3.8592, 1.1924], [2.2213, -4.0033, 1.3634]],
  "species": ["Ag", "Al", "Au", "Lu"],
  "fractional_positions": [[0.2500, 0.2500, 0.2500], [0.5000, 0.5000, 0.5000], [0.0000, 0.0000, 0.0000], [0.7500, 0.7500, 0.7500]]
}

***

- What is the formula in the first record?
  Li2Al2Zn2AgAu